Density functional theory data (PBE-GGA) for crystalline Cr2TcSnN at its relaxed geometry.

```
data_Cr2TcSnN
_chemical_formula_sum 'Cr2 Tc1 Sn1 N1'
_symmetry_space_group_name_H-M 'P 1'
_symmetry_Int_Tables_number 1
_symmetry_space_group_name_Hall 'P 1'
_cell_length_a 3.965
_cell_length_b 3.965
_cell_length_c 4.145
_cell_angle_alpha 90.00
_cell_angle_beta 90.00
_cell_angle_gamma 90.00
loop_
_atom_site_label
_atom_site_type_symbol
_atom_site_fract_x
_atom_site_fract_y
_atom_site_fract_z
Sn1 Sn 0.500 0.500 0.500
Cr1 Cr 0.000 0.500 0.000
Cr2 Cr 0.500 0.000 0.000
Tc1 Tc 0.000 0.000 0.500
N1 N 0.000 0.000 0.000
```

Raw total energy ... -8.49 eV/atom
Formation energy from raw total energies ... -0.1057 eV/atom
Space-group type ... P4/mmm